LiCuP (PBE, optimized geometry); M_tot = 0.000 μB/f.u.; SG = I4mm; Fermi-level density of states = 0.94 states/eV/cell; energy relative to the elements = -181 meV per atom
1.0
4.2828 -0.0060 0.0000
1.7875 3.8919 0.0000
-3.0351 -1.9429 2.3141
Cu Li P
1 1 1
direct
0.0008 0.0008 0.0000
0.3343 0.3343 0.0000
0.6649 0.6649 0.0000